(1)
The following is a PBE calculation of NpCuRuPt after structural relaxation, from Alexandria via LeMat-Bulk.

a = 4.5653 Å, b = 4.5653 Å, c = 4.5653 Å
α = 60.00°, β = 60.00°, γ = 60.00°
Last column: nearest neighbours and their distance in Å.
Positions (direct):
1 Np 0.0000 0.0000 0.0000  4 Ru 2.80, 4 Pt 2.80
2 Cu 0.5000 0.5000 0.5000  4 Pt 2.80, 4 Ru 2.80
3 Ru 0.7500 0.7500 0.7500  4 Cu 2.80, 4 Np 2.80
4 Pt 0.2500 0.2500 0.2500  4 Cu 2.80, 4 Np 2.80

Values from the calculation:
D(E_F) = 1.341 states/eV/atom
Formation enthalpy at 0 K = -13.0 kJ/mol of atoms

=====

(2)
The following is a PBE calculation of Nd2Ho2Er after structural relaxation, from Alexandria via LeMat-Bulk.

a = 3.5849 Å, b = 3.5849 Å, c = 14.5959 Å
α = 90.06°, β = 90.06°, γ = 60.03°
Last column: nearest neighbours and their distance in Å.
Positions (direct):
1 Nd 0.1681 0.1681 0.3946  9 Nd 3.58-3.72, 3 Ho 3.59
2 Nd 0.8319 0.8319 0.6054  9 Nd 3.58-3.72, 3 Ho 3.59
3 Ho 0.1658 0.1658 0.8061  3 Er 3.51, 6 Ho 3.58-3.59, 3 Nd 3.59
4 Ho 0.8342 0.8342 0.1939  3 Er 3.51, 6 Ho 3.58-3.59, 3 Nd 3.59
5 Er 0.5000 0.5000 0.0000  6 Ho 3.51, 6 Er 3.58-3.59

Values from the calculation:
D(E_F) = 1.266 states/eV/atom
Energy above the lowest structure with this stoichiometry = 0.00 eV per formula unit
Formation enthalpy at 0 K = 2.5 kJ/mol of atoms

=====

(3)
The following is a PBE calculation of CaNi2Pb after structural relaxation, from Alexandria via LeMat-Bulk.

a = 5.6189 Å, b = 5.6189 Å, c = 5.6189 Å
α = 144.93°, β = 131.42°, γ = 61.31°
Last column: nearest neighbours and their distance in Å.
Positions (direct):
1 Ca 0.0000 0.0000 0.0000  6 Ni 2.88-3.07, 2 Pb 3.11
2 Ni 0.2914 0.7914 0.5000  2 Ni 2.43
3 Ni 0.4724 0.4724 0.0000  2 Ni 2.43
4 Pb 0.7160 0.2160 0.5000  6 Ni 2.90-2.96, 4 Ca 3.11-3.23

Values from the calculation:
D(E_F) = 0.558 states/eV/atom
Formation enthalpy at 0 K = 2.7 kJ/mol of atoms

=====

(4)
The following is a PBE calculation of LiTbSn2Se4 after structural relaxation, from Alexandria via LeMat-Bulk.

a = 7.1407 Å, b = 4.1846 Å, c = 7.3475 Å
α = 90.00°, β = 108.69°, γ = 90.00°
Last column: nearest neighbours and their distance in Å.
Positions (direct):
1 Li 0.0000 0.0000 0.0000  6 Se 2.86-2.91
2 Tb 0.5000 0.5000 0.0000  6 Se 2.87-2.91
3 Sn 0.0000 0.5000 0.5000  6 Se 3.02-3.04
4 Sn 0.5000 0.0000 0.5000  6 Se 3.03-3.04
5 Se 0.2465 0.5000 0.2337  1 Tb 2.87, 2 Li 2.91, 3 Sn 3.02-3.04
6 Se 0.2542 0.0000 0.7680  1 Li 2.86, 2 Tb 2.91, 3 Sn 3.03-3.04
7 Se 0.7458 0.0000 0.2320  1 Li 2.86, 2 Tb 2.91, 3 Sn 3.03-3.04
8 Se 0.7535 0.5000 0.7663  1 Tb 2.87, 2 Li 2.91, 3 Sn 3.02-3.04

Values from the calculation:
Formation energy from raw total energies = -775 kJ/mol of formula units